Entry 1:
ZrCd2IrW: optimized geometry, PBE.

POSCAR file:
```
ZrCd2IrW
1.0
-3.073 4.132 0.143
-2.724 -1.902 -3.559
-2.964 -2.326 3.512
Ir Zr W Cd
1 1 1 2
Cartesian
-4.380 -0.048 0.048 Ir
-1.362 -0.951 -1.779 Zr
0.000 0.000 0.000 W
-1.482 -1.163 1.756 Cd
-1.536 2.066 0.072 Cd
```

Output
For the calculated formation energy, the calculation gives 1676 meV/atom.

---

Entry 2:
HfVSi2S: optimized geometry, PBE.

POSCAR file:
```
HfVSi2S
1.0
-4.575 0.124 0.231
-0.115 -4.154 -0.059
0.229 -0.071 4.576
S Hf Si V
1 1 2 1
Cartesian
0.000 0.000 0.000 S
-2.230 -2.051 2.374 Hf
0.115 -0.036 2.288 Si
-2.287 0.062 0.115 Si
-0.058 -2.077 -0.029 V
```

---

Entry 3:
MgBeIn2Pd: optimized geometry, PBE.

POSCAR file:
```
MgBeIn2Pd
1.0
5.265 0.000 0.000
0.000 4.526 0.000
0.000 0.000 5.265
Be Mg Pd In
1 1 1 2
Cartesian
0.000 2.263 0.000 Be
0.000 0.000 0.000 Mg
2.632 2.263 2.632 Pd
0.000 0.000 2.632 In
2.632 0.000 0.000 In
```

Output
For the calculated formation energy, the calculation gives 934 meV/atom.

---

Entry 4:
CeUH: optimized geometry, PBE.

POSCAR file:
```
CeUH
1.0
3.607 0.000 0.000
0.000 3.607 0.000
0.000 0.000 8.614
H U Ce
2 2 2
Cartesian
0.000 1.804 7.634 H
1.804 0.000 0.980 H
1.804 1.804 4.307 U
0.000 0.000 4.307 U
0.000 1.804 1.396 Ce
1.804 0.000 7.218 Ce
```

---

Entry 5:
AcPH: optimized geometry, PBE.

POSCAR file:
```
AcPH
1.0
-1.757 -2.413 3.136
1.478 -3.447 -1.824
2.304 2.010 2.837
P Ac H
1 1 1
Cartesian
0.857 -1.418 3.375 P
-0.293 -0.403 0.523 Ac
1.462 -2.029 0.251 H
```

---

Entry 6:
ZrRu2Rh: optimized geometry, PBE.

POSCAR file:
```
ZrRu2Rh
1.0
4.845 0.010 -0.016
1.542 4.594 0.016
-3.183 -2.317 2.825
Rh Ru Zr
1 2 1
Cartesian
0.776 2.289 1.420 Rh
6.386 4.603 0.000 Ru
2.429 -0.002 1.405 Ru
3.195 2.303 0.000 Zr
```

Output
For the calculated formation energy, the calculation gives -256 meV/atom.

---

Number 1: density 8.898 g cm⁻³, electronic total energy -4.76 eV/atom. Number 2: density 6.045 g cm⁻³, electronic total energy -6.40 eV/atom. Number 3: density 4.889 g cm⁻³, electronic total energy -2.26 eV/atom. Number 4: density 11.233 g cm⁻³, electronic total energy -6.73 eV/atom. Number 5: density 6.594 g cm⁻³, electronic total energy -4.87 eV/atom. Number 6: density 10.472 g cm⁻³, electronic total energy -8.87 eV/atom.